# 1
The following is a DFT calculation (PBE) of a relaxed structure of Y2ScFe.

Cell: 4.913 4.913 3.982 Å, 90.00 90.00 90.00°
Element x y z (fractional)
Y 0.000 0.500 0.000
Y 0.500 0.000 0.000
Sc 0.000 0.000 0.500
Fe 0.500 0.500 0.500

Calculated values
The calculated volume comes out at 96 Å³ per cell. As for the energy relative to the elements: 0.25 eV/atom. Its space-group type is P4/mmm, No. 123.

# 2
The following is a DFT calculation (PBE) of a relaxed structure of YScFe2.

Cell: 4.644 4.644 3.330 Å, 90.00 90.00 90.00°
Element x y z (fractional)
Y 0.000 0.000 0.000
Sc 0.500 0.500 0.000
Fe 0.000 0.500 0.500
Fe 0.500 0.000 0.500

Calculated values
The calculated volume comes out at 72 Å³ per cell. As for the energy relative to the elements: 0.13 eV/atom. Its space-group type is P4/mmm, No. 123.

# 3
The following is a DFT calculation (PBE) of a relaxed structure of Y2ScFe.

Cell: 7.128 7.128 7.128 Å, 90.00 90.00 90.00°
Element x y z (fractional)
Y 0.250 0.250 0.250
Y 0.250 0.250 0.750
Y 0.250 0.750 0.250
Y 0.250 0.750 0.750
Y 0.750 0.250 0.250
Y 0.750 0.250 0.750
Y 0.750 0.750 0.250
Y 0.750 0.750 0.750
Sc 0.000 0.000 0.000
Sc 0.000 0.500 0.500
Sc 0.500 0.000 0.500
Sc 0.500 0.500 0.000
Fe 0.000 0.000 0.500
Fe 0.000 0.500 0.000
Fe 0.500 0.000 0.000
Fe 0.500 0.500 0.500

Calculated values
The calculated volume comes out at 362 Å³ per cell. As for the energy relative to the elements: 0.31 eV/atom. Its space-group type is Fm-3m, No. 225.

# 4
The following is a DFT calculation (PBE) of a relaxed structure of YScFe2.

Cell: 3.276 3.276 24.260 Å, 90.00 90.00 120.00°
Element x y z (fractional)
Y 0.000 0.000 0.000
Y 0.333 0.667 0.667
Y 0.667 0.333 0.333
Sc 0.000 0.000 0.500
Sc 0.333 0.667 0.167
Sc 0.667 0.333 0.833
Fe 0.000 0.000 0.246
Fe 0.000 0.000 0.754
Fe 0.333 0.667 0.421
Fe 0.333 0.667 0.913
Fe 0.667 0.333 0.087
Fe 0.667 0.333 0.579

Calculated values
The calculated volume comes out at 225 Å³ per cell. As for the energy relative to the elements: 0.42 eV/atom. Its space-group type is R-3m, No. 166.